No. 1
! Ca2PaI8, relaxed, DFT PBE-GGA; values from VASP
! - space group = P-3m1
! - energy relative to the elements, uncorrected (eV/atom) = -1.16
! - density of states at the Fermi level (states/eV/atom) = 0.0494
! - uncorrected energy (eV per atom) = -3.518
! - ρ (g cm⁻³) = 4.2
&SYSTEM
  ibrav = 0, nat = 11, ntyp = 3
/
ATOMIC_SPECIES
Ca 40.08 Ca.upf
Pa 231.04 Pa.upf
I 126.90 I.upf
ATOMIC_POSITIONS crystal
Ca 0.704 0.333 0.667
Ca 0.296 0.667 0.333
Pa 0.500 0.000 0.000
I 0.782 0.667 0.333
I 0.218 0.333 0.667
I 0.244 0.302 0.151
I 0.756 0.698 0.849
I 0.756 0.151 0.849
I 0.244 0.849 0.151
I 0.244 0.849 0.698
I 0.756 0.151 0.302
CELL_PARAMETERS angstrom
-5.382 3.314 -0.910
-5.140 -8.311 0.128
1.602 4.883 8.312

---

No. 2
! Sm6Al2Sn, relaxed, DFT PBE-GGA; values from VASP
! - space group = Immm
! - ΔE_f (kJ/mol of formula units) = -296
! - density of states at the Fermi level (states/eV/atom) = 0.8608
! - uncorrected energy (eV per atom) = -4.764
! - ρ (g cm⁻³) = 6.7
&SYSTEM
  ibrav = 0, nat = 18, ntyp = 3
/
ATOMIC_SPECIES
Sm 150.36 Sm.upf
Al 26.98 Al.upf
Sn 118.71 Sn.upf
ATOMIC_POSITIONS crystal
Sm 0.533 0.721 0.812
Sm 0.467 0.279 0.188
Sm 0.091 0.279 0.812
Sm 0.909 0.721 0.188
Sm 0.798 0.761 0.560
Sm 0.202 0.239 0.440
Sm 0.202 0.761 0.963
Sm 0.798 0.239 0.037
Sm 0.709 0.387 0.678
Sm 0.291 0.613 0.322
Sm 0.291 0.970 0.678
Sm 0.709 0.030 0.322
Al 0.500 0.380 0.880
Al 0.500 0.620 0.120
Al 0.639 0.000 0.639
Al 0.361 0.000 0.361
Sn 0.000 0.500 0.500
Sn 0.000 0.000 0.000
CELL_PARAMETERS angstrom
8.281 -0.110 -3.219
-4.356 7.386 -2.330
-0.278 0.110 8.881